[1]
Entry from the Alexandria database: an optimized crystal structure of HoPuTeP (PBE-GGA).

Output
* VASP energy: -8.21 eV/atom
* uncorrected formation energy: -31.00 kcal/mol of atoms

Structure (POSCAR):
```
HoPuTeP
1.0
4.1405 0.0000 0.0000
-2.0702 3.5858 0.0000
0.0000 0.0000 21.1053
Ho Pu Te P
3 3 3 3
Direct
0.0000 0.0000 0.0000
0.3333 0.6667 0.6667
0.6667 0.3333 0.3333
0.0000 0.0000 0.4763
0.3333 0.6667 0.1429
0.6667 0.3333 0.8096
0.0000 0.0000 0.2394
0.3333 0.6667 0.9061
0.6667 0.3333 0.5728
0.0000 0.0000 0.7368
0.3333 0.6667 0.4035
0.6667 0.3333 0.0702
```


[2]
Entry from the Alexandria database: an optimized crystal structure of Li5TbS4 (PBE-GGA).

Output
* VASP energy: -4.57 eV/atom
* uncorrected formation energy: -34.66 kcal/mol of atoms

Structure (POSCAR):
```
Li5TbS4
1.0
-1.9598 3.5506 6.7454
1.9598 -3.5506 6.7454
1.9598 3.5506 -6.7454
Li Tb S
5 1 4
Direct
0.0000 0.0000 0.0000
0.1093 0.3217 0.7876
0.4658 0.6783 0.7876
0.5342 0.3217 0.2124
0.8907 0.6783 0.2124
0.5000 0.0000 0.5000
0.2342 0.5000 0.7342
0.2910 0.7910 0.5000
0.7090 0.2090 0.5000
0.7658 0.5000 0.2658
```


[3]
Entry from the Alexandria database: an optimized crystal structure of TaCo2Pb (PBE-GGA).

Output
* VASP energy: -6.84 eV/atom

Structure (POSCAR):
```
TaCo2Pb
1.0
6.3175 0.0000 0.0000
0.0000 6.3175 0.0000
0.0000 0.0000 6.3175
Ta Co Pb
4 8 4
Direct
0.0000 0.0000 0.0000
0.0000 0.5000 0.5000
0.5000 0.0000 0.5000
0.5000 0.5000 0.0000
0.0000 0.0000 0.5000
0.0000 0.5000 0.0000
0.2500 0.2500 0.7500
0.2500 0.7500 0.2500
0.5000 0.0000 0.0000
0.5000 0.5000 0.5000
0.7500 0.2500 0.2500
0.7500 0.7500 0.7500
0.2500 0.2500 0.2500
0.2500 0.7500 0.7500
0.7500 0.2500 0.7500
0.7500 0.7500 0.2500
```